No. 1
The following is a PBE calculation of crystalline RbHfZn at its relaxed geometry, from OQMD via LeMat-Bulk.

Geometry as POSCAR:
```
RbHfZn
1.0
1.469 -1.769 4.526
-2.713 -3.613 2.316
1.861 -4.706 0.404
Hf Rb Zn
1 1 1
Cartesian
0.154 -2.522 1.812
0.000 0.000 0.000
0.463 -7.566 5.435
```

Summary:
Total magnetization = 0.0 μB/cell
Uncorrected energy = -6.610 eV/f.u.

No. 2
The following is a PBE calculation of crystalline RbHfZn at its relaxed geometry, from OQMD via LeMat-Bulk.

Geometry as POSCAR:
```
RbHfZn
1.0
0.000 3.540 3.540
3.540 0.000 3.540
3.540 3.540 0.000
Hf Rb Zn
1 1 1
Cartesian
0.000 0.000 0.000
1.770 1.770 1.770
5.310 5.310 5.310
```

Summary:
Total magnetization = 0.0 μB/cell
Uncorrected energy = -7.899 eV/f.u.

No. 3
The following is a PBE calculation of crystalline RbHfZr at its relaxed geometry, from OQMD via LeMat-Bulk.

Geometry as POSCAR:
```
RbHfZr
1.0
0.000 3.803 3.803
3.803 0.000 3.803
3.803 3.803 0.000
Hf Rb Zr
1 1 1
Cartesian
1.902 1.902 1.902
5.705 5.705 5.705
0.000 0.000 0.000
```

Summary:
Total magnetization = 4.4 μB/cell
Uncorrected energy = -13.814 eV/f.u.